# MnFeO3, relaxed, DFT GGA+U
data_MnFeO3
_symmetry_space_group_name_H-M 'P m -3 m'
_symmetry_Int_Tables_number 221
_symmetry_space_group_name_Hall '-P 4 2 3'
_cell_length_a 3.744
_cell_length_b 3.744
_cell_length_c 3.744
_cell_angle_alpha 90.00
_cell_angle_beta 90.00
_cell_angle_gamma 90.00
loop_
_atom_site_label
_atom_site_type_symbol
_atom_site_fract_x
_atom_site_fract_y
_atom_site_fract_z
Mn1 Mn 0.000 0.000 0.000
Fe1 Fe 0.500 0.500 0.500
O1 O 0.000 0.500 0.500
# **Magnetic moment**: 9.01 Bohr magnetons per cell
# **Crystal system**: cubic
# **Final energy**: -6.6108 eV per atom
# **Density of states at the Fermi level**: 0.725 states/eV per cell